1.
A relaxed La2AgS2O crystal. Source: Alexandria via LeMat-Bulk, functional PBE-GGA.

Unit cell a=5.484 b=5.484 c=13.991 alpha=90.00 beta=90.00 gamma=90.00
Space group P4/mmm (No. 123)
Asymmetric unit:
1 La 0.000 0.000 0.154 (multiplicity 2)
2 Ag 0.000 0.000 0.500 (multiplicity 1)
3 S 0.000 0.000 0.332 (multiplicity 2)
4 O 0.000 0.000 0.000 (multiplicity 1)

## Properties
**Crystal system**: tetragonal
**Raw total energy**: -5.034 eV/atom
**Magnetic moment**: 0.0000 μB/atom
**Uncorrected formation energy**: -4.28 eV/f.u.

---

2.
A relaxed LaAg2SO8 crystal. Source: Alexandria via LeMat-Bulk, functional PBE-GGA.

Unit cell a=5.0894 b=5.0894 c=6.5336 alpha=90.00 beta=90.00 gamma=120.00
Space group P-3m1 (No. 164)
Asymmetric unit:
1 La 0.0000 0.0000 0.0000 (multiplicity 1)
2 Ag 0.3333 0.6667 0.3534 (multiplicity 2)
3 S 0.0000 0.0000 0.5000 (multiplicity 1)
4 O 0.1508 0.3016 0.6519 (multiplicity 6)
5 O 0.3333 0.6667 0.0379 (multiplicity 2)

## Properties
**Crystal system**: trigonal
**Raw total energy**: -5.182 eV/atom
**Magnetic moment**: 0.4000 μB/atom
**Uncorrected formation energy**: -7.76 eV/f.u.